# VCo2PtF, optimized geometry, DFT PBE+U
data_VCo2PtF
_cell_length_a 4.8211
_cell_length_b 4.8211
_cell_length_c 4.1563
_cell_angle_alpha 90.00
_cell_angle_beta 90.00
_cell_angle_gamma 90.00
_space_group_name_H-M_alt 'P 4/m m m'
_space_group_IT_number 123
_space_group_name_Hall '-P 4 2'
loop_
_atom_site_label
_atom_site_type_symbol
_atom_site_fract_x
_atom_site_fract_y
_atom_site_fract_z
V1 V 0.0000 0.0000 0.0000
Co1 Co 0.0000 0.5000 0.5000
Pt1 Pt 0.5000 0.5000 0.5000
F1 F 0.5000 0.5000 0.0000
# **M_tot**: 4.8 μB/f.u.
# **Final energy**: -19.620 eV per cell
# **V**: 19.321 A^3/atom